a:
Density functional theory data (PBE) for Cs3Cd2Hg4 after structural relaxation.

extended XYZ file:
```
9
Lattice="6.915 -2.724 0.000 6.915 2.724 0.000 -3.677 0.000 9.970" Properties=species:S:1:pos:R:3 pbc="T T T"
Cs 0.000 0.000 0.000
Cs 4.137 0.000 3.124
Cs 6.015 0.000 6.846
Cd 2.008 0.000 6.645
Cd 8.144 0.000 3.325
Hg 0.090 0.000 4.135
Hg 0.299 0.000 9.251
Hg 9.854 0.000 0.719
Hg 10.063 0.000 5.835
```

Computed properties:
- calculated volume (Å³/f.u.) = 375.5
- SG = C2/m, No. 12

b:
Density functional theory data (PBE) for Cs3Cd2Hg4 after structural relaxation.

extended XYZ file:
```
9
Lattice="6.880 -2.741 0.000 6.880 2.741 0.000 -2.531 0.000 10.256" Properties=species:S:1:pos:R:3 pbc="T T T"
Cs 0.000 0.000 0.000
Cs 3.785 0.000 3.378
Cs 7.444 0.000 6.878
Cd 3.513 0.000 7.333
Cd 7.715 0.000 2.923
Hg -0.144 0.000 3.998
Hg 1.476 0.000 9.661
Hg 9.753 0.000 0.595
Hg 11.372 0.000 6.258
```

Computed properties:
- calculated volume (Å³/f.u.) = 386.8
- SG = C2/m, No. 12

Least stable = b

a:
Density functional theory data (PBE) for Cs2KCdHg after structural relaxation.

extended XYZ file:
```
5
Lattice="7.219 0.000 0.000 0.000 7.219 0.000 0.000 0.000 6.669" Properties=species:S:1:pos:R:3 pbc="T T T"
Cs 0.000 3.610 0.000
Cs 3.610 0.000 0.000
K 0.000 0.000 3.335
Cd 3.610 3.610 3.335
Hg 0.000 0.000 0.000
```

Computed properties:
- calculated volume (Å³/f.u.) = 347.6
- SG = P4/mmm, No. 123

b:
Density functional theory data (PBE) for Cs2KCdHg after structural relaxation.

extended XYZ file:
```
5
Lattice="7.325 0.000 0.000 0.000 7.325 0.000 0.000 0.000 5.949" Properties=species:S:1:pos:R:3 pbc="T T T"
Cs 0.000 3.663 0.000
Cs 3.663 0.000 0.000
K 0.000 0.000 2.975
Cd 3.663 3.663 2.975
Hg 3.663 3.663 0.000
```

Computed properties:
- calculated volume (Å³/f.u.) = 319.2
- SG = P4/mmm, No. 123

Least stable = a

a:
Density functional theory data (PBE) for CsKCd2Hg after structural relaxation.

extended XYZ file:
```
5
Lattice="5.963 0.000 0.000 0.000 5.963 0.000 0.000 0.000 6.334" Properties=species:S:1:pos:R:3 pbc="T T T"
Cs 0.000 0.000 0.000
K 2.982 2.982 0.000
Cd 0.000 2.982 3.167
Cd 2.982 0.000 3.167
Hg 2.982 2.982 3.167
```

Computed properties:
- calculated volume (Å³/f.u.) = 225.3
- SG = P4/mmm, No. 123

b:
Density functional theory data (PBE) for CsKCd2Hg after structural relaxation.

extended XYZ file:
```
5
Lattice="5.946 0.000 0.000 0.000 5.946 0.000 0.000 0.000 6.623" Properties=species:S:1:pos:R:3 pbc="T T T"
Cs 0.000 0.000 0.000
K 2.973 2.973 0.000
Cd 0.000 2.973 3.312
Cd 2.973 0.000 3.312
Hg 0.000 0.000 3.312
```

Computed properties:
- calculated volume (Å³/f.u.) = 234.2
- SG = P4/mmm, No. 123

c:
Density functional theory data (PBE) for CsKCd2Hg after structural relaxation.

extended XYZ file:
```
5
Lattice="-2.400 2.863 7.580 2.400 -2.863 7.580 2.400 2.863 -7.580" Properties=species:S:1:pos:R:3 pbc="T T T"
Cs 0.000 0.000 0.000
K 2.400 0.000 3.981
Cd 0.000 0.000 9.512
Cd 0.000 2.863 3.879
Hg 0.000 0.000 6.469
```

Computed properties:
- calculated volume (Å³/f.u.) = 208.3
- SG = Imm2, No. 44

Least stable = b

a:
Density functional theory data (PBE) for CsKCdHg after structural relaxation.

extended XYZ file:
```
4
Lattice="4.602 -2.657 0.000 4.602 2.657 0.000 -3.089 0.000 8.228" Properties=species:S:1:pos:R:3 pbc="T T T"
Cs 0.000 0.000 0.000
K -0.001 0.000 4.474
Cd 6.137 0.000 2.531
Hg 3.067 0.000 2.510
```

Computed properties:
- calculated volume (Å³/f.u.) = 201.3
- SG = Cm, No. 8

b:
Density functional theory data (PBE) for CsKCdHg after structural relaxation.

extended XYZ file:
```
4
Lattice="0.000 4.499 4.499 4.499 0.000 4.499 4.499 4.499 0.000" Properties=species:S:1:pos:R:3 pbc="T T T"
Cs 0.000 0.000 0.000
K 4.499 4.499 4.499
Cd 6.749 6.749 6.749
Hg 2.250 2.250 2.250
```

Computed properties:
- calculated volume (Å³/f.u.) = 182.2
- SG = F-43m, No. 216

Least stable = b

a:
Density functional theory data (PBE) for CsLiCdHg2 after structural relaxation.

extended XYZ file:
```
5
Lattice="5.832 0.000 0.000 0.000 5.832 0.000 0.000 0.000 5.449" Properties=species:S:1:pos:R:3 pbc="T T T"
Cs 0.000 0.000 0.000
Li 2.916 2.916 0.000
Cd 2.916 2.916 2.724
Hg 0.000 2.916 2.724
Hg 2.916 0.000 2.724
```

Computed properties:
- calculated volume (Å³/f.u.) = 185.3
- SG = P4/mmm, No. 123

b:
Density functional theory data (PBE) for CsLiCdHg2 after structural relaxation.

extended XYZ file:
```
5
Lattice="5.503 0.000 0.000 0.000 5.503 0.000 0.000 0.000 5.493" Properties=species:S:1:pos:R:3 pbc="T T T"
Cs 0.000 0.000 0.000
Li 2.751 2.751 2.747
Cd 2.751 2.751 0.000
Hg 0.000 2.751 2.747
Hg 2.751 0.000 2.747
```

Computed properties:
- calculated volume (Å³/f.u.) = 166.3
- SG = P4/mmm, No. 123

Least stable = a

a:
Density functional theory data (PBE) for Cs2NaCdHg after structural relaxation.

extended XYZ file:
```
5
Lattice="7.212 0.000 0.000 0.000 7.212 0.000 0.000 0.000 5.908" Properties=species:S:1:pos:R:3 pbc="T T T"
Cs 0.000 3.606 0.000
Cs 3.606 0.000 0.000
Na 0.000 0.000 2.954
Cd 3.606 3.606 2.954
Hg 0.000 0.000 0.000
```

Computed properties:
- calculated volume (Å³/f.u.) = 307.3
- SG = P4/mmm, No. 123

b:
Density functional theory data (PBE) for Cs2NaCdHg after structural relaxation.

extended XYZ file:
```
5
Lattice="7.382 0.000 0.000 0.000 7.382 0.000 0.000 0.000 5.961" Properties=species:S:1:pos:R:3 pbc="T T T"
Cs 0.000 3.691 0.000
Cs 3.691 0.000 0.000
Na 0.000 0.000 2.981
Cd 0.000 0.000 0.000
Hg 3.691 3.691 2.981
```

Computed properties:
- calculated volume (Å³/f.u.) = 324.9
- SG = P4/mmm, No. 123

Least stable = b

a:
Density functional theory data (PBE) for CsNa2CdHg after structural relaxation.

extended XYZ file:
```
5
Lattice="6.032 0.000 0.000 0.000 6.032 0.000 0.000 0.000 5.994" Properties=species:S:1:pos:R:3 pbc="T T T"
Cs 0.000 0.000 0.000
Na 0.000 3.016 2.997
Na 3.016 0.000 2.997
Cd 3.016 3.016 2.997
Hg 3.016 3.016 0.000
```

Computed properties:
- calculated volume (Å³/f.u.) = 218.1
- SG = P4/mmm, No. 123

b:
Density functional theory data (PBE) for CsNa2CdHg after structural relaxation.

extended XYZ file:
```
5
Lattice="5.978 0.000 0.000 0.000 5.978 0.000 0.000 0.000 5.985" Properties=species:S:1:pos:R:3 pbc="T T T"
Cs 0.000 0.000 0.000
Na 0.000 2.989 2.993
Na 2.989 0.000 2.993
Cd 2.989 2.989 0.000
Hg 2.989 2.989 2.993
```

Computed properties:
- calculated volume (Å³/f.u.) = 213.9
- SG = P4/mmm, No. 123

Least stable = a

a:
Density functional theory data (PBE) for CsNaCd2Hg after structural relaxation.

extended XYZ file:
```
5
Lattice="-2.546 2.575 6.765 2.546 -2.575 6.765 2.546 2.575 -6.765" Properties=species:S:1:pos:R:3 pbc="T T T"
Cs 0.000 0.000 0.000
Na 2.546 0.000 3.461
Cd 0.000 0.000 8.394
Cd 0.000 2.575 3.390
Hg 0.000 0.000 5.293
```

Computed properties:
- calculated volume (Å³/f.u.) = 177.3
- SG = Imm2, No. 44

b:
Density functional theory data (PBE) for CsNaCd2Hg after structural relaxation.

extended XYZ file:
```
5
Lattice="5.881 0.000 0.000 0.000 5.881 0.000 0.000 0.000 5.831" Properties=species:S:1:pos:R:3 pbc="T T T"
Cs 0.000 0.000 0.000
Na 2.941 2.941 0.000
Cd 0.000 2.941 2.916
Cd 2.941 0.000 2.916
Hg 2.941 2.941 2.916
```

Computed properties:
- calculated volume (Å³/f.u.) = 201.7
- SG = P4/mmm, No. 123

Least stable = b